Density functional theory data (PBE) for an optimized crystal structure of Zr4TlIn2.

Output
formation energy	0	meV/atom

Unit cell a=7.3301 b=5.9069 c=8.4479 alpha=90.00 beta=112.90 gamma=90.00
Space group P2_1/m (No. 11)
Symmetry-distinct sites (fractional):
Zr  0.0486  0.2500  0.0459 [2 per cell]
Zr  0.1324  0.5009  0.7105 [4 per cell]
Zr  0.2686  0.7500  0.3623 [2 per cell]
Tl  0.4879  0.2500  0.2480 [2 per cell]
In  0.2563  0.2500  0.4573 [2 per cell]
In  0.4026  0.7500  0.0667 [2 per cell]